This record from Alexandria via LeMat-Bulk describes a geometry-optimized Y2WF structure. The functional is PBE with a Hubbard U.

Output
E_tot in eV per cell: -49.02
SG: I-42d
ΔE to the lowest computed polymorph in meV per atom: 0.0

a b c (Å): 6.2651 6.2651 6.2651
angles (deg): 110.20 110.20 108.03
Last column: nearest neighbours and their distance in Å.
Sites, in units of the cell vectors:
Y (0.0352, 0.6250, 0.9102)  2 F 2.32
Y (0.3750, 0.2852, 0.4102)  2 F 2.32
Y (0.7148, 0.1250, 0.0898)  2 F 2.32
Y (0.8750, 0.9648, 0.5898)  2 F 2.32
W (0.2500, 0.7500, 0.5000)  8 Y 3.16-3.49
W (0.5000, 0.5000, 0.0000)  8 Y 3.16-3.49
F (0.0000, 0.0000, 0.0000)  4 Y 2.32
F (0.7500, 0.2500, 0.5000)  4 Y 2.32